# TaMn2Au (PBE, optimized geometry)
data_TaMn2Au
_chemical_formula_sum 'Ta1 Mn2 Au1'
_cell_length_a 4.1169
_cell_length_b 4.1169
_cell_length_c 3.5141
_cell_angle_alpha 90.00
_cell_angle_beta 90.00
_cell_angle_gamma 90.00
_symmetry_space_group_name_H-M 'P 4/m m m'
_symmetry_Int_Tables_number 123
_symmetry_space_group_name_Hall '-P 4 2'
loop_
_atom_site_label
_atom_site_type_symbol
_atom_site_fract_x
_atom_site_fract_y
_atom_site_fract_z
_atom_site_occupancy
Ta1 Ta 0.0000 0.0000 0.0000 1
Mn1 Mn 0.0000 0.5000 0.5000 1
Au1 Au 0.5000 0.5000 0.0000 1
# - theoretical density (g cm⁻³) = 13.60
# - M_tot (μB per cell) = 3.94
# - crystal system = tetragonal
# - total DFT energy (no corrections) (eV per atom) = -8.37
# - D(E_F) (states/eV/cell) = 2.66
# - calculated formation energy (eV per formula unit) = 0.00